## AlTcSb2I (PBE)

Data for AlTcSb2I after structural relaxation.

## Properties
- Relative energy among the computed polymorphs: 0.594 eV per atom
- Space-group type: P4/mmm
- Formation energy (no corrections): 1150 meV/atom

```
AlTcSb2I
1.0
5.2908 0.0000 0.0000
0.0000 5.2908 0.0000
0.0000 0.0000 5.4059
Al Tc Sb I
1 1 2 1
Cartesian
0.0000 0.0000 0.0000
2.6454 2.6454 2.7029
0.0000 2.6454 0.0000
2.6454 0.0000 0.0000
0.0000 0.0000 2.7029
```